(1)
A geometry-optimized Ca2UGe4Pt3 structure, computed with GGA-PBE.

abc: 4.250 4.250 11.673
angles: 90.00 90.00 90.00
Atoms (fractional coordinates):
Ca1 0.000 0.500 0.231
Ca2 0.500 0.000 0.769
U1 0.000 0.000 0.500
Ge1 0.000 0.000 0.000
Ge2 0.000 0.500 0.667
Ge3 0.500 0.000 0.333
Ge4 0.500 0.500 0.000
Pt1 0.000 0.500 0.880
Pt2 0.500 0.000 0.120
Pt3 0.500 0.500 0.500

final energy: -5.79 eV/atom
space-group type: P-4m2 (115)
E_form: -0.606 eV per atom


(2)
A geometry-optimized CaUGe2Pt5 structure, computed with GGA-PBE.

abc: 4.029 4.029 11.943
angles: 90.00 90.00 90.00
Atoms (fractional coordinates):
Ca1 0.000 0.000 0.000
U1 0.000 0.000 0.500
Ge1 0.500 0.500 0.201
Ge2 0.500 0.500 0.799
Pt1 0.000 0.500 0.329
Pt2 0.000 0.500 0.671
Pt3 0.500 0.000 0.329
Pt4 0.500 0.000 0.671
Pt5 0.500 0.500 0.000

final energy: -6.45 eV/atom
space-group type: P4/mmm (123)
E_form: -0.588 eV per atom


(3)
A geometry-optimized Ca2VGe3Pt4 structure, computed with GGA-PBE.

abc: 4.139 4.139 10.917
angles: 90.00 90.00 90.00
Atoms (fractional coordinates):
Ca1 0.000 0.500 0.246
Ca2 0.500 0.000 0.754
V1 0.000 0.000 0.500
Ge1 0.000 0.500 0.860
Ge2 0.500 0.000 0.140
Ge3 0.500 0.500 0.500
Pt1 0.000 0.000 0.000
Pt2 0.000 0.500 0.635
Pt3 0.500 0.000 0.365
Pt4 0.500 0.500 0.000

final energy: -5.85 eV/atom
space-group type: P-4m2 (115)
E_form: -0.737 eV per atom


(4)
A geometry-optimized Ca2GePtW structure, computed with GGA-PBE.

abc: 5.452 5.452 4.854
angles: 90.00 90.00 90.00
Atoms (fractional coordinates):
Ca1 0.000 0.500 0.000
Ca2 0.500 0.000 0.000
Ge1 0.000 0.000 0.500
Pt1 0.500 0.500 0.000
W1 0.500 0.500 0.500

final energy: -5.05 eV/atom
space-group type: P4/mmm (123)
E_form: 0.474 eV per atom